Material: CeU4
Method: DFT, GGA-PBE
State: optimized geometry

Cell and atoms, written as POSCAR:
```
CeU4
1.0
5.177 0.000 0.000
0.000 5.177 0.000
0.000 0.000 5.177
U Ce
4 1
direct
0.000 0.000 0.000
0.500 0.000 0.500
0.000 0.500 0.500
0.500 0.500 0.000
0.500 0.500 0.500
```

The calculation puts the total energy at -44.98 eV for the cell shown. For the density of states at the Fermi level, the calculation gives 21.2 states/eV/cell. Its formation energy is 1221 meV per atom.


Material: ZrB3Rh
Method: DFT, GGA-PBE
State: optimized geometry

Cell and atoms, written as POSCAR:
```
ZrB3Rh
1.0
4.230 0.000 0.000
0.000 4.230 0.000
0.000 0.000 4.230
B Rh Zr
3 1 1
direct
0.000 0.500 0.000
0.000 0.000 0.500
0.500 0.000 0.000
0.500 0.500 0.500
0.000 0.000 0.000
```

The value obtained for the energy above the most stable polymorph in this dataset is 1.3327 eV per atom. The calculation puts the total energy at -26.10 eV for the cell shown. For the density of states at the Fermi level, the calculation gives 3.0 states/eV/cell. Its formation energy is 1967 meV per atom.


Material: Li3AgGe
Method: DFT, GGA-PBE
State: optimized geometry

Cell and atoms, written as POSCAR:
```
Li3AgGe
1.0
4.765 0.000 0.000
0.000 4.765 0.000
0.000 0.000 4.765
Ge Ag Li
1 1 3
direct
0.000 0.000 0.000
0.500 0.500 0.500
0.000 0.500 0.000
0.000 0.000 0.500
0.500 0.000 0.000
```

The value obtained for the energy above the most stable polymorph in this dataset is 0.4756 eV per atom. The calculation puts the total energy at -12.35 eV for the cell shown. For the density of states at the Fermi level, the calculation gives 1.7 states/eV/cell. Its formation energy is 172 meV per atom.


Material: CePu2PN5
Method: DFT, GGA-PBE
State: optimized geometry

Cell and atoms, written as POSCAR:
```
CePu2PN5
1.0
-2.437 1.998 5.708
-5.721 -2.758 -1.477
5.698 -4.210 0.183
Ce Pu P N
2 4 2 10
direct
0.250 0.250 0.500
0.750 0.750 0.500
0.179 0.321 0.000
0.679 0.179 0.000
0.321 0.821 0.000
0.821 0.679 0.000
0.250 0.750 0.500
0.750 0.250 0.500
0.014 0.514 0.304
0.709 0.209 0.696
0.986 0.486 0.696
0.209 0.986 0.696
0.486 0.709 0.696
0.791 0.014 0.304
0.514 0.291 0.304
0.291 0.791 0.304
0.500 0.500 0.000
0.000 0.000 0.000
```

The calculation puts the total energy at -184.34 eV for the cell shown. For the density of states at the Fermi level, the calculation gives 25.3 states/eV/cell. As for the raw formation energy: -1.170 eV/atom.


Material: V2GaAu2
Method: DFT, GGA-PBE
State: optimized geometry

Cell and atoms, written as POSCAR:
```
V2GaAu2
1.0
6.501 0.000 0.000
0.000 6.501 0.000
0.000 0.000 4.003
Au Ga V
4 2 4
direct
0.166 0.666 0.500
0.666 0.834 0.500
0.834 0.334 0.500
0.334 0.166 0.500
0.000 0.000 0.000
0.500 0.500 0.000
0.382 0.882 0.000
0.882 0.618 0.000
0.618 0.118 0.000
0.118 0.382 0.000
```

The value obtained for the energy above the most stable polymorph in this dataset is 0.0000 eV per atom. The calculation puts the total energy at -53.77 eV for the cell shown. For the density of states at the Fermi level, the calculation gives 12.3 states/eV/cell. Its formation energy is 187 meV per atom.


Material: PmPS4Cl
Method: DFT, GGA-PBE
State: optimized geometry

Cell and atoms, written as POSCAR:
```
PmPS4Cl
1.0
-5.700 -4.005 0.358
2.811 -6.301 -1.029
0.921 -1.841 8.695
Pm P S Cl
2 2 8 2
direct
0.192 0.192 0.932
0.808 0.808 0.068
0.609 0.609 0.758
0.391 0.391 0.242
0.310 0.310 0.454
0.690 0.690 0.546
0.159 0.511 0.111
0.574 0.574 0.280
0.489 0.841 0.889
0.511 0.159 0.111
0.426 0.426 0.720
0.841 0.489 0.889
0.028 0.028 0.191
0.972 0.972 0.809
```

The calculation puts the total energy at -68.65 eV for the cell shown. For the density of states at the Fermi level, the calculation gives 3.3 states/eV/cell. As for the raw formation energy: -0.830 eV/atom.


Here are the calculated volume numbers, same order: 27.742; 15.132; 21.643; 12.714; 16.919; 30.355 (Å³/atom).
Here are the calculated theoretical density numbers, same order: 13.08; 4.97; 3.09; 10.58; 11.10; 2.65 (g/cm³).